# 1
A relaxed structure of LaZr2Tc, computed with GGA-PBE.

Unit cell a=3.1623 b=3.1623 c=10.0432 alpha=90.00 beta=90.00 gamma=114.00
Closest atoms and distances in Å follow each position.
Fractional positions:
Zr 0.5000 0.5000 0.2245  8 Zr 3.11-3.44
Zr 0.0000 0.0000 0.9670  2 Tc 2.64
Tc 0.5000 0.5000 0.7674  2 Zr 2.64, 2 La 2.85
La 0.0000 0.0000 0.5411  2 Tc 2.85, 4 La 3.16

Calculated values
Crystal system: orthorhombic
Energy above the most stable polymorph in this dataset, eV per formula unit: 1.08
VASP energy, eV/atom: -7.938
Magnetic moment, μB/atom: 0.000
E_form, kJ per mole of atoms: 15.4

# 2
A relaxed structure of LaZr2Tc, computed with GGA-PBE.

Unit cell a=4.9456 b=4.9456 c=4.9456 alpha=60.00 beta=60.00 gamma=60.00
Closest atoms and distances in Å follow each position.
Fractional positions:
Zr 0.2500 0.2500 0.2500  4 La 3.03, 4 Tc 3.03
Zr 0.7500 0.7500 0.7500  4 La 3.03, 4 Tc 3.03
Tc 0.0000 0.0000 0.0000  8 Zr 3.03
La 0.5000 0.5000 0.5000  8 Zr 3.03

Calculated values
Crystal system: cubic
Energy above the most stable polymorph in this dataset, eV per formula unit: 1.08
VASP energy, eV/atom: -7.938
Magnetic moment, μB/atom: 0.000
E_form, kJ per mole of atoms: 15.4

# 3
A relaxed structure of LaZr2Tc, computed with GGA-PBE.

Unit cell a=9.8188 b=9.8188 c=9.8188 alpha=19.64 beta=19.64 gamma=19.64
Closest atoms and distances in Å follow each position.
Fractional positions:
Zr 0.4834 0.4834 0.4834  3 Tc 2.73
Zr 0.0166 0.0166 0.0166  3 Tc 2.73
La 0.2500 0.2500 0.2500  6 La 3.35, 6 Zr 3.47
Tc 0.7500 0.7500 0.7500  6 Zr 2.73

Calculated values
Crystal system: trigonal
Energy above the most stable polymorph in this dataset, eV per formula unit: 0.96
VASP energy, eV/atom: -7.968
Magnetic moment, μB/atom: 0.000
E_form, kJ per mole of atoms: 12.5

# 4
A relaxed structure of LaZrTc, computed with GGA-PBE.

Unit cell a=6.8154 b=6.8155 c=3.3947 alpha=75.58 beta=75.58 gamma=28.84
Closest atoms and distances in Å follow each position.
Fractional positions:
La 0.9724 0.9724 0.0276  4 Tc 3.11, 1 Zr 3.35, 4 La 3.39
Zr 0.7100 0.7100 0.2900  4 Tc 2.76
Tc 0.3175 0.3176 0.6824  4 Zr 2.76

Calculated values
Crystal system: tetragonal
Energy above the most stable polymorph in this dataset, eV per formula unit: 0.00
VASP energy, eV/atom: -7.965
Magnetic moment, μB/atom: 0.000
E_form, kJ per mole of atoms: -1.7

# 5
A relaxed structure of LaZr2Tc, computed with GGA-PBE.

Unit cell a=4.4090 b=3.3373 c=6.8434 alpha=71.87 beta=90.00 gamma=90.00
Closest atoms and distances in Å follow each position.
Fractional positions:
Zr 0.5000 0.2712 0.1950  1 Tc 2.59
Zr 0.0000 0.9343 0.9733  2 Tc 2.72
Tc 0.5000 0.6938 0.8062  3 Zr 2.59-2.72
La 0.0000 0.6007 0.5254  2 Tc 3.00, 1 Zr 3.18, 2 La 3.34

Calculated values
Crystal system: monoclinic
Energy above the most stable polymorph in this dataset, eV per formula unit: 0.92
VASP energy, eV/atom: -7.979
Magnetic moment, μB/atom: 0.000
E_form, kJ per mole of atoms: 11.4

# 6
A relaxed structure of La2ZrTc, computed with GGA-PBE.

Unit cell a=4.7230 b=3.4549 c=6.3598 alpha=74.52 beta=90.00 gamma=90.00
Closest atoms and distances in Å follow each position.
Fractional positions:
La 0.0000 0.4416 0.4760  2 Tc 2.93, 1 La 3.09, 2 Zr 3.28
La 0.0000 0.0584 0.0240  2 Tc 2.93, 1 La 3.09, 2 Zr 3.28
Tc 0.5000 0.2500 0.2500  4 La 2.93, 2 Zr 3.19
Zr 0.5000 0.7500 0.7500  2 Tc 3.19, 8 La 3.28-3.48, 2 Zr 3.45

Calculated values
Crystal system: monoclinic
Energy above the most stable polymorph in this dataset, eV per formula unit: 1.38
VASP energy, eV/atom: -6.841
Magnetic moment, μB/atom: 0.000
E_form, kJ per mole of atoms: 33.9

# 7
A relaxed structure of La2ZrTc, computed with GGA-PBE.

Unit cell a=6.3162 b=6.3162 c=6.3162 alpha=146.66 beta=128.77 gamma=62.51
Closest atoms and distances in Å follow each position.
Fractional positions:
La 0.7157 0.2157 0.5000  2 Tc 3.14, 4 Zr 3.41
La 0.0017 0.0017 0.0000  4 Tc 3.29, 2 Zr 3.47, 6 La 3.58-3.62
Tc 0.4787 0.4787 0.0000  2 Zr 2.62
Zr 0.3039 0.8039 0.5000  2 Tc 2.62

Calculated values
Crystal system: orthorhombic
Energy above the most stable polymorph in this dataset, eV per formula unit: 0.28
VASP energy, eV/atom: -7.116
Magnetic moment, μB/atom: 0.000
E_form, kJ per mole of atoms: 7.3

# 8
A relaxed structure of LaZr2Tc, computed with GGA-PBE.

Unit cell a=3.4268 b=4.2647 c=6.4997 alpha=90.00 beta=90.00 gamma=90.00
Closest atoms and distances in Å follow each position.
Fractional positions:
La 0.0000 0.0000 0.5261  1 Zr 2.88
Zr 0.0000 0.0000 0.9688  1 La 2.88, 4 Tc 2.92, 4 Zr 3.10
Zr 0.5000 0.5000 0.1943  1 Tc 2.49
Tc 0.5000 0.5000 0.8107  1 Zr 2.49

Calculated values
Crystal system: orthorhombic
Energy above the most stable polymorph in this dataset, eV per formula unit: 1.00
VASP energy, eV/atom: -7.959
Magnetic moment, μB/atom: 0.000
E_form, kJ per mole of atoms: 13.4

Repeat the fifth record exactly.
A relaxed structure of LaZr2Tc, computed with GGA-PBE.

Unit cell a=4.4090 b=3.3373 c=6.8434 alpha=71.87 beta=90.00 gamma=90.00
Closest atoms and distances in Å follow each position.
Fractional positions:
Zr 0.5000 0.2712 0.1950  1 Tc 2.59
Zr 0.0000 0.9343 0.9733  2 Tc 2.72
Tc 0.5000 0.6938 0.8062  3 Zr 2.59-2.72
La 0.0000 0.6007 0.5254  2 Tc 3.00, 1 Zr 3.18, 2 La 3.34

Calculated values
Crystal system: monoclinic
Energy above the most stable polymorph in this dataset, eV per formula unit: 0.92
VASP energy, eV/atom: -7.979
Magnetic moment, μB/atom: 0.000
E_form, kJ per mole of atoms: 11.4